No. 1
Material: PPb2Au
Method: DFT, PBE-GGA
State: optimized geometry

Computed properties:
The calculation puts the energy relative to the elements at 0.193 eV/atom. As for the calculated total energy: -15.3 eV for the cell shown.

abc: 3.7858 5.0285 5.0695
angles: 90.00 90.00 90.00
Sites, in units of the cell vectors:
P 0.0000 0.0000 0.0000
Pb 0.5000 0.0000 0.5000
Pb 0.5000 0.5000 0.0000
Au 0.0000 0.5000 0.5000

***

No. 2
Material: P2PbAu
Method: DFT, PBE-GGA
State: optimized geometry

Computed properties:
The calculation puts the energy relative to the elements at 0.031 eV/atom. As for the calculated total energy: -17.7 eV for the cell shown.

abc: 4.6376 3.8982 5.0854
angles: 90.00 102.41 90.00
Sites, in units of the cell vectors:
P 0.2171 0.0000 0.1360
P 0.7829 0.0000 0.8640
Pb 0.0000 0.5000 0.5000
Au 0.5000 0.5000 0.0000

***

No. 3
Material: PPb2Au2
Method: DFT, PBE-GGA
State: optimized geometry

Computed properties:
The calculation puts the energy relative to the elements at 0.121 eV/atom. As for the calculated total energy: -37.6 eV for the cell shown.

abc: 6.9848 6.9848 4.8105
angles: 90.00 90.00 90.00
Sites, in units of the cell vectors:
P 0.0000 0.0000 0.0000
P 0.5000 0.5000 0.0000
Pb 0.1729 0.3271 0.5000
Pb 0.3271 0.8271 0.5000
Pb 0.6729 0.1729 0.5000
Pb 0.8271 0.6729 0.5000
Au 0.1455 0.6455 0.0000
Au 0.3545 0.1455 0.0000
Au 0.6455 0.8545 0.0000
Au 0.8545 0.3545 0.0000

***

No. 4
Material: P2PbAu
Method: DFT, PBE-GGA
State: optimized geometry

Computed properties:
The calculation puts the energy relative to the elements at 0.589 eV/atom. As for the calculated total energy: -15.4 eV for the cell shown.

abc: 4.8527 4.8527 4.8527
angles: 60.00 60.00 60.00
Sites, in units of the cell vectors:
P 0.0000 0.0000 0.0000
P 0.2500 0.2500 0.2500
Pb 0.5000 0.5000 0.5000
Au 0.7500 0.7500 0.7500

***

No. 5
Material: PPbAu
Method: DFT, PBE-GGA
State: optimized geometry

Computed properties:
The calculation puts the energy relative to the elements at -0.028 eV/atom. As for the calculated total energy: -12.5 eV for the cell shown.

abc: 4.2654 4.2654 4.3973
angles: 90.00 90.00 120.00
Sites, in units of the cell vectors:
P 0.0000 0.0000 0.0000
Pb 0.3333 0.6667 0.5000
Au 0.6667 0.3333 0.0000

***

No. 6
Material: PPbAu
Method: DFT, PBE-GGA
State: optimized geometry

Computed properties:
The calculation puts the energy relative to the elements at 0.234 eV/atom. As for the calculated total energy: -11.7 eV for the cell shown.

abc: 4.6797 4.6797 4.6797
angles: 60.00 60.00 60.00
Sites, in units of the cell vectors:
P 0.0000 0.0000 0.0000
Pb 0.5000 0.5000 0.5000
Au 0.2500 0.2500 0.2500

***

No. 7
Material: P3PbAu5
Method: DFT, PBE-GGA
State: optimized geometry

Computed properties:
The calculation puts the energy relative to the elements at 0.218 eV/atom. As for the calculated total energy: -68.7 eV for the cell shown.

abc: 9.8900 9.8900 9.8900
angles: 148.49 60.88 129.35
Sites, in units of the cell vectors:
P 0.0100 0.7600 0.2500
P 0.3197 0.2363 0.0834
P 0.3470 0.7637 0.5834
P 0.6530 0.2363 0.4166
P 0.6803 0.7637 0.9166
P 0.9900 0.2400 0.7500
Pb 0.3584 0.6084 0.7500
Pb 0.6416 0.3916 0.2500
Au 0.0000 0.0000 0.0000
Au 0.1618 0.0000 0.6618
Au 0.1618 0.5000 0.1618
Au 0.1781 0.0092 0.1689
Au 0.3403 0.0092 0.3311
Au 0.5000 0.0000 0.5000
Au 0.6597 0.9908 0.6689
Au 0.8219 0.9908 0.8311
Au 0.8382 0.0000 0.3382
Au 0.8382 0.5000 0.8382

***

No. 8
Material: PPb2Au
Method: DFT, PBE-GGA
State: optimized geometry

Computed properties:
The calculation puts the energy relative to the elements at 0.164 eV/atom. As for the calculated total energy: -15.4 eV for the cell shown.

abc: 3.5753 3.6191 7.4192
angles: 90.00 90.00 90.00
Sites, in units of the cell vectors:
P 0.0000 0.0000 0.0000
Pb 0.5000 0.5000 0.2362
Pb 0.5000 0.5000 0.7638
Au 0.0000 0.0000 0.5000

***

No. 9
Material: P2PbAu
Method: DFT, PBE-GGA
State: optimized geometry

Computed properties:
The calculation puts the energy relative to the elements at 0.560 eV/atom. As for the calculated total energy: -15.6 eV for the cell shown.

abc: 3.7971 4.2517 5.0628
angles: 90.00 90.00 90.00
Sites, in units of the cell vectors:
P 0.0000 0.0000 0.0000
P 0.5000 0.0000 0.5000
Pb 0.0000 0.5000 0.5000
Au 0.5000 0.5000 0.0000

***

No. 10
Material: P4PbAu
Method: DFT, PBE-GGA
State: optimized geometry

Computed properties:
The calculation puts the energy relative to the elements at 0.409 eV/atom. As for the calculated total energy: -26.2 eV for the cell shown.

abc: 5.7543 5.7543 5.7543
angles: 60.00 60.00 60.00
Sites, in units of the cell vectors:
P 0.4028 0.4028 0.4028
P 0.4028 0.4028 0.7915
P 0.4028 0.7915 0.4028
P 0.7915 0.4028 0.4028
Pb 0.0000 0.0000 0.0000
Au 0.7500 0.7500 0.7500

***

No. 11
Material: PPbAu
Method: DFT, PBE-GGA
State: optimized geometry

Computed properties:
The calculation puts the energy relative to the elements at -0.010 eV/atom. As for the calculated total energy: -24.9 eV for the cell shown.

abc: 6.1685 6.1685 6.1685
angles: 139.46 108.28 85.78
Sites, in units of the cell vectors:
P 0.1493 0.0000 0.1493
P 0.8507 0.0000 0.8507
Pb 0.2773 0.7773 0.5000
Pb 0.7227 0.2227 0.5000
Au 0.3043 0.5000 0.8043
Au 0.6957 0.5000 0.1957

***

No. 12
Material: PPb4Au
Method: DFT, PBE-GGA
State: optimized geometry

Computed properties:
The calculation puts the energy relative to the elements at 0.632 eV/atom. As for the calculated total energy: -19.7 eV for the cell shown.

abc: 6.3132 6.3132 6.3132
angles: 60.00 60.00 60.00
Sites, in units of the cell vectors:
P 0.0000 0.0000 0.0000
Pb 0.1254 0.6249 0.6249
Pb 0.6249 0.1254 0.6249
Pb 0.6249 0.6249 0.1254
Pb 0.6249 0.6249 0.6249
Au 0.2500 0.2500 0.2500

***

The highest energy relative to the elements belongs to which entry? PPb4Au